(1)
TiAs: optimized geometry, PBE-GGA.

Values from the calculation:
Energy of formation: -520 meV per atom
E_tot: -6.7924 eV/atom
M_tot: 0.0 μB/f.u.

Cell lengths 3.633, 11.721, 6.472 Å; angles 90.00, 90.00, 90.00 degrees
Space group Amm2 (No. 38)
Inequivalent atoms, fractional coordinates:
Ti: 0.000 0.000 0.000 [2 per cell]
Ti: 0.500 0.202 0.141 [4 per cell]
As: 0.000 0.197 0.855 [4 per cell]
As: 0.500 0.000 0.273 [2 per cell]



(2)
CrFe3Mo: optimized geometry, PBE-GGA.

Values from the calculation:
Energy of formation: 1220 meV per atom
Relative energy among the computed polymorphs: 0 meV/atom
E_tot: -7.9482 eV/atom
M_tot: 4.8 μB/f.u.

Cell lengths 4.141, 4.141, 4.141 Å; angles 90.00, 90.00, 90.00 degrees
Space group Pm-3m (No. 221)
Inequivalent atoms, fractional coordinates:
Cr: 0.000 0.000 0.000 [1 per cell]
Fe: 0.000 0.000 0.500 [3 per cell]
Mo: 0.500 0.500 0.500 [1 per cell]



(3)
LaTcN: optimized geometry, PBE-GGA.

Values from the calculation:
Energy relative to the elements, uncorrected: -10.93 kcal/mol of atoms
E_tot: -8.3468 eV/atom
M_tot: 0.0 μB/f.u.

Cell lengths 5.304, 9.119, 4.793 Å; angles 90.00, 90.00, 90.00 degrees
Space group Cmcm (No. 63)
Inequivalent atoms, fractional coordinates:
La: 0.000 0.179 0.250 [4 per cell]
Tc: 0.000 0.500 0.000 [4 per cell]
N: 0.000 0.317 0.750 [4 per cell]



(4)
MgTl5In6: optimized geometry, PBE-GGA.

Values from the calculation:
Energy of formation: 20 meV per atom
E_tot: -2.4676 eV/atom
M_tot: 0.0 μB/f.u.

Cell lengths 10.616, 15.323, 4.510 Å; angles 90.00, 113.95, 90.00 degrees
Space group C2/m (No. 12)
Inequivalent atoms, fractional coordinates:
Mg: 0.000 0.000 0.000 [2 per cell]
Tl: 0.000 0.161 0.500 [4 per cell]
Tl: 0.000 0.333 0.000 [4 per cell]
Tl: 0.000 0.500 0.500 [2 per cell]
In: 0.242 0.000 0.747 [4 per cell]
In: 0.247 0.163 0.249 [8 per cell]



(5)
GeMoBr3: optimized geometry, PBE-GGA.

Values from the calculation:
Energy relative to the elements, uncorrected: 8.26 kcal/mol of atoms
Relative energy among the computed polymorphs: 0 meV/atom
E_tot: -3.7352 eV/atom
M_tot: 5.0 μB/f.u.

Cell lengths 5.314, 5.314, 5.314 Å; angles 90.00, 90.00, 90.00 degrees
Space group Pm-3m (No. 221)
Inequivalent atoms, fractional coordinates:
Ge: 0.000 0.000 0.000 [1 per cell]
Mo: 0.500 0.500 0.500 [1 per cell]
Br: 0.000 0.500 0.500 [3 per cell]



(6)
Er2PuThS4: optimized geometry, PBE-GGA.

Values from the calculation:
Energy relative to the elements, uncorrected: -43.53 kcal/mol of atoms
E_tot: -7.8110 eV/atom
M_tot: 5.7 μB/f.u.

Cell lengths 6.755, 3.886, 6.929 Å; angles 90.00, 108.87, 90.00 degrees
Space group P2/m (No. 10)
Inequivalent atoms, fractional coordinates:
Er: 0.000 0.000 0.000 [1 per cell]
Er: 0.500 0.500 0.000 [1 per cell]
Pu: 0.000 0.500 0.500 [1 per cell]
Th: 0.500 0.000 0.500 [1 per cell]
S: 0.241 0.500 0.234 [2 per cell]
S: 0.250 0.000 0.762 [2 per cell]